Record 1
{
  "formula": "HgAuSe2",
  "functional": "PBE",
  "state": "relaxed",
  "formation_energy_uncorrected_ev_per_atom": -0.011,
  "lattice_angstrom": [[-2.342, -2.616, 1.732], [2.981, 0.062, 4.124], [-1.434, 4.221, 4.437]],
  "species": ["Au", "Hg", "Se", "Se"],
  "fractional_positions": [[0.500, 0.250, 0.250], [0.500, 0.750, 0.750], [0.000, 0.004, 0.121], [0.000, 0.496, 0.379]]
}

---

Record 2
{
  "formula": "K2RbLi",
  "functional": "PBE",
  "state": "relaxed",
  "lattice_angstrom": [[-4.323, 0.776, -0.418], [-2.079, -1.060, -3.744], [-5.206, -14.143, 4.295]],
  "species": ["K", "K", "Rb", "Li"],
  "fractional_positions": [[0.078, 0.078, 0.767], [0.922, 0.922, 0.233], [0.500, 0.500, 0.500], [0.000, 0.000, 0.000]]
}

---

Record 3
{
  "formula": "Fe3CN",
  "functional": "PBE",
  "state": "relaxed",
  "formation_energy_uncorrected_ev_per_atom": 0.829,
  "lattice_angstrom": [[-3.648, 0.612, -0.121], [-0.155, -0.197, 3.693], [0.604, 3.645, 0.220]],
  "species": ["C", "Fe", "Fe", "Fe", "N"],
  "fractional_positions": [[0.500, 0.500, 0.500], [0.000, 0.500, 0.000], [0.000, 0.000, 0.500], [0.500, 0.000, 0.000], [0.000, 0.000, 0.000]]
}

---

Record 4
{
  "formula": "GaBi3Pd",
  "functional": "PBE",
  "state": "relaxed",
  "lattice_angstrom": [[-2.018, -5.048, -0.263], [5.033, -2.033, 0.400], [-0.469, -0.095, 5.422]],
  "species": ["Ga", "Bi", "Bi", "Bi", "Pd"],
  "fractional_positions": [[0.500, 0.500, 0.500], [0.000, 0.500, 0.000], [0.000, 0.000, 0.500], [0.500, 0.000, 0.000], [0.000, 0.000, 0.000]]
}

---

Record 5
{
  "formula": "K2ZnCd12Au3",
  "functional": "PBE",
  "state": "relaxed",
  "lattice_angstrom": [[-7.721, 2.697, 3.921], [-7.425, -0.523, -5.183], [-5.828, -6.609, 2.148]],
  "species": ["K", "K", "Zn", "Cd", "Cd", "Cd", "Cd", "Cd", "Cd", "Cd", "Cd", "Cd", "Cd", "Cd", "Cd", "Au", "Au", "Au"],
  "fractional_positions": [[0.603, 0.603, 0.603], [0.397, 0.397, 0.397], [0.000, 0.000, 0.000], [0.340, 0.340, 0.998], [0.879, 0.879, 0.349], [0.349, 0.879, 0.879], [0.998, 0.340, 0.340], [0.879, 0.349, 0.879], [0.340, 0.998, 0.340], [0.660, 0.660, 0.002], [0.121, 0.121, 0.651], [0.651, 0.121, 0.121], [0.002, 0.660, 0.660], [0.121, 0.651, 0.121], [0.660, 0.002, 0.660], [0.500, 0.000, 0.000], [0.000, 0.500, 0.000], [0.000, 0.000, 0.500]]
}

---

Record 6
{
  "formula": "La5Th2In2",
  "functional": "PBE",
  "state": "relaxed",
  "lattice_angstrom": [[-3.866, 1.907, -7.387], [3.337, -7.232, -3.613], [-8.505, -0.762, 4.255]],
  "species": ["La", "La", "La", "La", "La", "La", "La", "La", "La", "La", "Th", "Th", "Th", "Th", "In", "In", "In", "In"],
  "fractional_positions": [[0.000, 0.000, 0.000], [0.500, 0.500, 0.000], [0.836, 0.815, 0.289], [0.164, 0.474, 0.289], [0.336, 0.974, 0.289], [0.664, 0.315, 0.289], [0.164, 0.185, 0.711], [0.836, 0.526, 0.711], [0.664, 0.026, 0.711], [0.336, 0.685, 0.711], [0.639, 0.865, 0.000], [0.361, 0.135, 0.000], [0.139, 0.635, 0.000], [0.861, 0.365, 0.000], [0.000, 0.201, 0.402], [0.500, 0.701, 0.402], [0.000, 0.799, 0.598], [0.500, 0.299, 0.598]]
}

---

Results for final energy: -2.65, -1.06, -7.76, -3.65, -1.29, -5.02 (in eV/atom, following the order of the records).
Results for N(E_F): 0.220, 0.718, 0.460, 1.284, 0.325, 1.216 (in states/eV/atom, following the order of the records).